Entry 1:
Here is Zr5Bi3C after structural relaxation from Alexandria. Energies are from PBE.

Structure (CIF):
```
data_Zr5Bi3C
_chemical_formula_sum 'Zr10 Bi6 C2'
_cell_length_a 8.6663
_cell_length_b 8.6663
_cell_length_c 5.9655
_cell_angle_alpha 90.00
_cell_angle_beta 90.00
_cell_angle_gamma 120.00
_space_group_name_H-M_alt 'P 63/m c m'
_space_group_IT_number 193
_space_group_name_Hall '-P 6c 2'
loop_
_atom_site_label
_atom_site_type_symbol
_atom_site_fract_x
_atom_site_fract_y
_atom_site_fract_z
Zr1 Zr 0.0000 0.2121 0.2500
Zr2 Zr 0.3333 0.6667 0.0000
Bi1 Bi 0.0000 0.4036 0.7500
C1 C 0.0000 0.0000 0.0000
```

Values from the calculation:
* DOS at the Fermi energy: 10.67 states/eV per cell
* energy relative to the elements: -477 meV per atom
* uncorrected energy: -7.545 eV per atom
* total magnetic moment: 0.000 μB/f.u.

Entry 2:
Here is SnBiPb2S5 after structural relaxation from Alexandria. Energies are from PBE.

Structure (CIF):
```
data_SnBiPb2S5
_chemical_formula_sum 'Sn4 Bi4 Pb8 S20'
_cell_length_a 4.3643
_cell_length_b 18.0263
_cell_length_c 12.0808
_cell_angle_alpha 90.00
_cell_angle_beta 90.00
_cell_angle_gamma 90.00
_space_group_name_H-M_alt 'C m c 21'
_space_group_IT_number 36
_space_group_name_Hall 'C 2c -2'
loop_
_atom_site_label
_atom_site_type_symbol
_atom_site_fract_x
_atom_site_fract_y
_atom_site_fract_z
Sn1 Sn 0.0000 0.0498 0.0000
Bi1 Bi 0.0000 0.2866 0.5707
Pb1 Pb 0.0000 0.3721 0.2267
Pb2 Pb 0.0000 0.3804 0.8583
S1 S 0.0000 0.0153 0.3221
S2 S 0.0000 0.1394 0.5607
S3 S 0.0000 0.1784 0.9116
S4 S 0.0000 0.2137 0.2195
S5 S 0.0000 0.4576 0.6009
```

Values from the calculation:
* raw formation energy: -0.374 eV/atom
* DOS at the Fermi energy: 3.78 states/eV per cell
* uncorrected energy: -4.367 eV per atom
* total magnetic moment: 0.000 μB/f.u.

Entry 3:
Here is Ba2MgHg16 after structural relaxation from Alexandria. Energies are from PBE.

Structure (CIF):
```
data_Ba2MgHg16
_chemical_formula_sum 'Ba6 Mg3 Hg48'
_cell_length_a 10.3634
_cell_length_b 10.3634
_cell_length_c 17.0761
_cell_angle_alpha 90.00
_cell_angle_beta 90.00
_cell_angle_gamma 120.00
_space_group_name_H-M_alt 'R 3 m'
_space_group_IT_number 160
_space_group_name_Hall 'R 3 -2"'
loop_
_atom_site_label
_atom_site_type_symbol
_atom_site_fract_x
_atom_site_fract_y
_atom_site_fract_z
Ba1 Ba 0.0000 0.0000 0.0000
Ba2 Ba 0.0000 0.0000 0.3238
Mg1 Mg 0.0000 0.0000 0.7058
Hg1 Hg 0.0000 0.0000 0.5346
Hg2 Hg 0.0001 0.2954 0.6450
Hg3 Hg 0.1815 0.3630 0.1184
Hg4 Hg 0.2018 0.4036 0.8393
Hg5 Hg 0.2104 0.4208 0.4868
```

Values from the calculation:
* DOS at the Fermi energy: 24.82 states/eV per cell
* energy relative to the elements: -215 meV per atom
* uncorrected energy: -0.755 eV per atom
* total magnetic moment: 0.000 μB/f.u.

Entry 4:
Here is KCeP4O12 after structural relaxation from Alexandria. Energies are from PBE.

Structure (CIF):
```
data_KCeP4O12
_chemical_formula_sum 'K4 Ce4 P16 O48'
_cell_length_a 7.5224
_cell_length_b 13.5344
_cell_length_c 12.7174
_cell_angle_alpha 90.00
_cell_angle_beta 126.09
_cell_angle_gamma 90.00
_space_group_name_H-M_alt 'P 1 21/c 1'
_space_group_IT_number 14
_space_group_name_Hall '-P 2ybc'
loop_
_atom_site_label
_atom_site_type_symbol
_atom_site_fract_x
_atom_site_fract_y
_atom_site_fract_z
K1 K 0.0648 0.2258 0.0675
Ce1 Ce 0.4714 0.2212 0.9793
P1 P 0.0139 0.5986 0.2464
P2 P 0.0987 0.6127 0.7403
P3 P 0.3574 0.6232 0.2016
P4 P 0.4646 0.0910 0.7081
O1 O 0.0653 0.5142 0.7965
O2 O 0.1098 0.1416 0.8877
O3 O 0.1096 0.6182 0.1628
O4 O 0.1889 0.1611 0.3103
O5 O 0.1910 0.6070 0.3904
O6 O 0.2027 0.6861 0.8494
O7 O 0.2695 0.5803 0.7078
O8 O 0.3472 0.7007 0.1138
O9 O 0.3784 0.1566 0.5924
O10 O 0.3825 0.5192 0.1504
O11 O 0.4070 0.1149 0.8001
O12 O 0.4771 0.1333 0.1539
```

Values from the calculation:
* raw formation energy: -2.424 eV/atom
* DOS at the Fermi energy: 31.59 states/eV per cell
* uncorrected energy: -7.323 eV per atom
* total magnetic moment: 1.000 μB/f.u.

Entry 5:
Here is Hf3Fe8Re after structural relaxation from Alexandria. Energies are from PBE.

Structure (CIF):
```
data_Hf3Fe8Re
_chemical_formula_sum 'Hf9 Fe24 Re3'
_cell_length_a 4.8770
_cell_length_b 4.8770
_cell_length_c 23.9486
_cell_angle_alpha 90.00
_cell_angle_beta 90.00
_cell_angle_gamma 120.00
_space_group_name_H-M_alt 'R 3 m'
_space_group_IT_number 160
_space_group_name_Hall 'R 3 -2"'
loop_
_atom_site_label
_atom_site_type_symbol
_atom_site_fract_x
_atom_site_fract_y
_atom_site_fract_z
Hf1 Hf 0.0000 0.0000 0.0000
Hf2 Hf 0.0000 0.0000 0.1283
Hf3 Hf 0.0000 0.0000 0.5085
Fe1 Fe 0.0000 0.0000 0.3157
Fe2 Fe 0.0000 0.0000 0.8166
Fe3 Fe 0.1672 0.3344 0.3990
Fe4 Fe 0.1677 0.3355 0.9001
Re1 Re 0.0000 0.0000 0.6313
```

Values from the calculation:
* DOS at the Fermi energy: 33.35 states/eV per cell
* energy relative to the elements: -231 meV per atom
* uncorrected energy: -9.398 eV per atom
* total magnetic moment: 14.280 μB/f.u.

Entry 6:
Here is SrGePbO5 after structural relaxation from Alexandria. Energies are from PBE.

Structure (CIF):
```
data_SrGePbO5
_chemical_formula_sum 'Sr4 Ge4 Pb4 O20'
_cell_length_a 7.1244
_cell_length_b 9.6860
_cell_length_c 7.5519
_cell_angle_alpha 90.00
_cell_angle_beta 113.06
_cell_angle_gamma 90.00
_space_group_name_H-M_alt 'C 1 2/c 1'
_space_group_IT_number 15
_space_group_name_Hall '-C 2yc'
loop_
_atom_site_label
_atom_site_type_symbol
_atom_site_fract_x
_atom_site_fract_y
_atom_site_fract_z
Sr1 Sr 0.0000 0.1590 0.2500
Ge1 Ge 0.0000 0.1844 0.7500
Pb1 Pb 0.0000 0.5000 0.0000
O1 O 0.0000 0.4099 0.2500
O2 O 0.1130 0.2872 0.6214
O3 O 0.1727 0.0678 0.9216
```

Values from the calculation:
* raw formation energy: -1.774 eV/atom
* uncorrected energy: -6.123 eV per atom
* total magnetic moment: 0.000 μB/f.u.

Entry 7:
Here is Sc5Cd2Tc after structural relaxation from Alexandria. Energies are from PBE.

Structure (CIF):
```
data_Sc5Cd2Tc
_chemical_formula_sum 'Sc10 Cd4 Tc2'
_cell_length_a 4.7462
_cell_length_b 4.7462
_cell_length_c 15.0291
_cell_angle_alpha 90.00
_cell_angle_beta 90.00
_cell_angle_gamma 90.00
_space_group_name_H-M_alt 'I 4/m m m'
_space_group_IT_number 139
_space_group_name_Hall '-I 4 2'
loop_
_atom_site_label
_atom_site_type_symbol
_atom_site_fract_x
_atom_site_fract_y
_atom_site_fract_z
Sc1 Sc 0.0000 0.0000 0.0000
Sc2 Sc 0.0000 0.5000 0.1163
Cd1 Cd 0.0000 0.0000 0.2475
Tc1 Tc 0.0000 0.0000 0.5000
```

Values from the calculation:
* DOS at the Fermi energy: 15.16 states/eV per cell
* energy relative to the elements: -166 meV per atom
* uncorrected energy: -5.648 eV per atom
* total magnetic moment: 0.000 μB/f.u.

Entry 8:
Here is Na3BMo after structural relaxation from Alexandria. Energies are from PBE.

Structure (CIF):
```
data_Na3BMo
_chemical_formula_sum 'Na3 B1 Mo1'
_cell_length_a 5.8425
_cell_length_b 5.8425
_cell_length_c 5.8425
_cell_angle_alpha 90.00
_cell_angle_beta 90.00
_cell_angle_gamma 90.00
_space_group_name_H-M_alt 'P m -3 m'
_space_group_IT_number 221
_space_group_name_Hall '-P 4 2 3'
loop_
_atom_site_label
_atom_site_type_symbol
_atom_site_fract_x
_atom_site_fract_y
_atom_site_fract_z
Na1 Na 0.0000 0.0000 0.5000
B1 B 0.5000 0.5000 0.5000
Mo1 Mo 0.0000 0.0000 0.0000
```

Values from the calculation:
* DOS at the Fermi energy: 4.58 states/eV per cell
* energy relative to the elements: 2145 meV per atom
* offset from the most stable computed form: 591 meV/atom
* uncorrected energy: -2.148 eV per atom
* total magnetic moment: 4.393 μB/f.u.

Entry 9:
Here is V5Ir4Pt after structural relaxation from Alexandria. Energies are from PBE.

Structure (CIF):
```
data_V5Ir4Pt
_chemical_formula_sum 'V5 Ir4 Pt1'
_cell_length_a 2.7457
_cell_length_b 2.7457
_cell_length_c 18.5903
_cell_angle_alpha 90.00
_cell_angle_beta 90.00
_cell_angle_gamma 90.00
_space_group_name_H-M_alt 'P 4/m m m'
_space_group_IT_number 123
_space_group_name_Hall '-P 4 2'
loop_
_atom_site_label
_atom_site_type_symbol
_atom_site_fract_x
_atom_site_fract_y
_atom_site_fract_z
V1 V 0.0000 0.0000 0.0000
V2 V 0.0000 0.0000 0.1984
V3 V 0.0000 0.0000 0.3955
Ir1 Ir 0.5000 0.5000 0.0986
Ir2 Ir 0.5000 0.5000 0.2979
Pt1 Pt 0.5000 0.5000 0.5000
```

Values from the calculation:
* DOS at the Fermi energy: 11.92 states/eV per cell
* energy relative to the elements: -514 meV per atom
* uncorrected energy: -9.222 eV per atom
* total magnetic moment: 0.000 μB/f.u.

Entry 10:
Here is BaNaCu2Bi after structural relaxation from Alexandria. Energies are from PBE.

Structure (CIF):
```
data_BaNaCu2Bi
_chemical_formula_sum 'Ba1 Na1 Cu2 Bi1'
_cell_length_a 5.1512
_cell_length_b 5.1512
_cell_length_c 5.6404
_cell_angle_alpha 90.00
_cell_angle_beta 90.00
_cell_angle_gamma 90.00
_space_group_name_H-M_alt 'P 4/m m m'
_space_group_IT_number 123
_space_group_name_Hall '-P 4 2'
loop_
_atom_site_label
_atom_site_type_symbol
_atom_site_fract_x
_atom_site_fract_y
_atom_site_fract_z
Ba1 Ba 0.0000 0.0000 0.0000
Na1 Na 0.5000 0.5000 0.5000
Cu1 Cu 0.0000 0.5000 0.5000
Bi1 Bi 0.5000 0.5000 0.0000
```

Values from the calculation:
* DOS at the Fermi energy: 2.43 states/eV per cell
* energy relative to the elements: 348 meV per atom
* uncorrected energy: -2.715 eV per atom
* total magnetic moment: 0.000 μB/f.u.

> Which value of uncorrected energy does entry 9 give?

-9.222 eV per atom

> Which formula does entry 8 have?

Na3BMo

> Which of these has the lowest uncorrected energy?

Hf3Fe8Re

> Which of these has the lowest uncorrected energy?

Hf3Fe8Re